No. 1
Crystalline BaAc2Dy at its relaxed geometry. Source: Alexandria via LeMat-Bulk, functional PBE.

Structure (CIF):
```
data_BaAc2Dy
_chemical_formula_sum 'Ba4 Ac8 Dy4'
_symmetry_space_group_name_H-M 'F m -3 m'
_symmetry_Int_Tables_number 225
_symmetry_space_group_name_Hall '-F 4 2 3'
_cell_length_a 8.906
_cell_length_b 8.906
_cell_length_c 8.906
_cell_angle_alpha 90.00
_cell_angle_beta 90.00
_cell_angle_gamma 90.00
loop_
_atom_site_label
_atom_site_type_symbol
_atom_site_fract_x
_atom_site_fract_y
_atom_site_fract_z
Ba1 Ba 0.000 0.000 0.000
Ac1 Ac 0.250 0.250 0.250
Dy1 Dy 0.000 0.000 0.500
```

E_form, meV/atom: 220.3
E above lowest polymorph, meV/atom: 142
Magnetic moment, μB/f.u.: 0.00
Crystal system: cubic

No. 2
Crystalline MgIn2Ag at its relaxed geometry. Source: Alexandria via LeMat-Bulk, functional PBE.

Structure (CIF):
```
data_MgIn2Ag
_chemical_formula_sum 'Mg3 In6 Ag3'
_symmetry_space_group_name_H-M 'R 3 m'
_symmetry_Int_Tables_number 160
_symmetry_space_group_name_Hall 'R 3 -2"'
_cell_length_a 3.3776
_cell_length_b 3.3776
_cell_length_c 27.8921
_cell_angle_alpha 90.00
_cell_angle_beta 90.00
_cell_angle_gamma 120.00
loop_
_atom_site_label
_atom_site_type_symbol
_atom_site_fract_x
_atom_site_fract_y
_atom_site_fract_z
Mg1 Mg 0.0000 0.0000 0.0000
In1 In 0.0000 0.0000 0.2471
In2 In 0.0000 0.0000 0.4873
Ag1 Ag 0.0000 0.0000 0.7408
```

E_form, meV/atom: -28.3
Magnetic moment, μB/f.u.: 0.00
Crystal system: trigonal

No. 3
Crystalline PrSiRhC at its relaxed geometry. Source: Alexandria via LeMat-Bulk, functional PBE.

Structure (CIF):
```
data_PrSiRhC
_chemical_formula_sum 'Pr2 Si2 Rh2 C2'
_symmetry_space_group_name_H-M 'P 4/n m m'
_symmetry_Int_Tables_number 129
_cell_length_a 3.994
_cell_length_b 3.994
_cell_length_c 8.551
_cell_angle_alpha 90.00
_cell_angle_beta 90.00
_cell_angle_gamma 90.00
loop_
_symmetry_equiv_pos_as_xyz
'x,y,z'
'-x,-y,-z'
'-y+1/2,x,z'
'y+1/2,-x,-z'
'-x+1/2,-y+1/2,z'
'x+1/2,y+1/2,-z'
'y,-x+1/2,z'
'-y,x+1/2,-z'
'x+1/2,-y,-z'
'-x+1/2,y,z'
'-y,-x,-z'
'y,x,z'
'-x,y+1/2,-z'
'x,-y+1/2,z'
'y+1/2,x+1/2,-z'
'-y+1/2,-x+1/2,z'
loop_
_atom_site_label
_atom_site_type_symbol
_atom_site_fract_x
_atom_site_fract_y
_atom_site_fract_z
Pr1 Pr 0.250 0.250 0.154
Si1 Si 0.250 0.250 0.651
Rh1 Rh 0.250 0.750 0.500
C1 C 0.250 0.250 0.863
```

DFT total energy, eV/atom: -7.32
Magnetic moment, μB/f.u.: 0.00
Crystal system: tetragonal

No. 4
Crystalline NaPrLuHg at its relaxed geometry. Source: Alexandria via LeMat-Bulk, functional PBE.

Structure (CIF):
```
data_NaPrLuHg
_chemical_formula_sum 'Na4 Pr4 Lu4 Hg4'
_symmetry_space_group_name_H-M 'F -4 3 m'
_symmetry_Int_Tables_number 216
_symmetry_space_group_name_Hall 'F -4 2 3'
_cell_length_a 7.644
_cell_length_b 7.644
_cell_length_c 7.644
_cell_angle_alpha 90.00
_cell_angle_beta 90.00
_cell_angle_gamma 90.00
loop_
_atom_site_label
_atom_site_type_symbol
_atom_site_fract_x
_atom_site_fract_y
_atom_site_fract_z
Na1 Na 0.000 0.000 0.000
Pr1 Pr 0.250 0.250 0.250
Lu1 Lu 0.250 0.250 0.750
Hg1 Hg 0.000 0.000 0.500
```

E_form, meV/atom: -41.3
Magnetic moment, μB/f.u.: 0.64
Crystal system: cubic

No. 5
Crystalline Tb4Ni3Ru at its relaxed geometry. Source: Alexandria via LeMat-Bulk, functional PBE.

Structure (CIF):
```
data_Tb4Ni3Ru
_chemical_formula_sum 'Tb4 Ni3 Ru1'
_symmetry_space_group_name_H-M 'P m m 2'
_symmetry_Int_Tables_number 25
_cell_length_a 3.865
_cell_length_b 4.086
_cell_length_c 10.447
_cell_angle_alpha 90.00
_cell_angle_beta 90.00
_cell_angle_gamma 90.00
loop_
_symmetry_equiv_pos_as_xyz
'x,y,z'
'-x,-y,z'
'-x,y,z'
'x,-y,z'
loop_
_atom_site_label
_atom_site_type_symbol
_atom_site_fract_x
_atom_site_fract_y
_atom_site_fract_z
Tb1 Tb 0.000 0.000 0.000
Tb2 Tb 0.000 0.500 0.282
Tb3 Tb 0.500 0.000 0.497
Tb4 Tb 0.500 0.500 0.780
Ni1 Ni 0.000 0.000 0.709
Ni2 Ni 0.000 0.500 0.575
Ni3 Ni 0.500 0.500 0.059
Ru1 Ru 0.500 0.000 0.212
```

E_form, meV/atom: -396.9
Magnetic moment, μB/f.u.: 0.00
Crystal system: orthorhombic

No. 6
Crystalline Na4Np3MoN8 at its relaxed geometry. Source: Alexandria via LeMat-Bulk, functional PBE.

Structure (CIF):
```
data_Na4Np3MoN8
_chemical_formula_sum 'Na12 Np9 Mo3 N24'
_symmetry_space_group_name_H-M 'R -3 m'
_symmetry_Int_Tables_number 166
_symmetry_space_group_name_Hall '-R 3 2"'
_cell_length_a 6.7286
_cell_length_b 6.7286
_cell_length_c 17.0484
_cell_angle_alpha 90.00
_cell_angle_beta 90.00
_cell_angle_gamma 120.00
loop_
_atom_site_label
_atom_site_type_symbol
_atom_site_fract_x
_atom_site_fract_y
_atom_site_fract_z
Na1 Na 0.0000 0.0000 0.0000
Na2 Na 0.0000 0.5000 0.0000
Np1 Np 0.0000 0.5000 0.5000
Mo1 Mo 0.0000 0.0000 0.5000
N1 N 0.0000 0.0000 0.2296
N2 N 0.0091 0.5046 0.2289
```

DFT total energy, eV/atom: -8.30
Magnetic moment, μB/f.u.: 7.04
Crystal system: trigonal

No. 7
Crystalline LaCo2Hg at its relaxed geometry. Source: Alexandria via LeMat-Bulk, functional PBE.

Structure (CIF):
```
data_LaCo2Hg
_chemical_formula_sum 'La4 Co8 Hg4'
_symmetry_space_group_name_H-M 'I -4 2 d'
_symmetry_Int_Tables_number 122
_symmetry_space_group_name_Hall 'I -4 2bw'
_cell_length_a 4.399
_cell_length_b 4.399
_cell_length_c 17.084
_cell_angle_alpha 90.00
_cell_angle_beta 90.00
_cell_angle_gamma 90.00
loop_
_atom_site_label
_atom_site_type_symbol
_atom_site_fract_x
_atom_site_fract_y
_atom_site_fract_z
La1 La 0.000 0.000 0.000
Co1 Co 0.193 0.250 0.125
Hg1 Hg 0.000 0.000 0.500
```

E_form, meV/atom: 514.0
Magnetic moment, μB/f.u.: 1.17
Crystal system: tetragonal

No. 8
Crystalline K2HPb at its relaxed geometry. Source: Alexandria via LeMat-Bulk, functional PBE.

Structure (CIF):
```
data_K2HPb
_chemical_formula_sum 'K2 H1 Pb1'
_symmetry_space_group_name_H-M 'P 4/m m m'
_symmetry_Int_Tables_number 123
_symmetry_space_group_name_Hall '-P 4 2'
_cell_length_a 3.458
_cell_length_b 3.458
_cell_length_c 9.147
_cell_angle_alpha 90.00
_cell_angle_beta 90.00
_cell_angle_gamma 90.00
loop_
_atom_site_label
_atom_site_type_symbol
_atom_site_fract_x
_atom_site_fract_y
_atom_site_fract_z
K1 K 0.000 0.000 0.182
H1 H 0.500 0.500 0.000
Pb1 Pb 0.500 0.500 0.500
```

E above lowest polymorph, meV/atom: 0
Magnetic moment, μB/f.u.: 0.00
Crystal system: tetragonal